# 1
A relaxed Y2Ho3Er6Sc crystal. Source: Alexandria via LeMat-Bulk, functional PBE-GGA.

Unit cell a=6.0617 b=6.0617 c=11.6126 alpha=94.98 beta=94.98 gamma=119.94
Atoms (fractional coordinates):
Y 0.3334 0.6666 0.0000
Y 0.6666 0.3334 0.0000
Ho 0.1665 0.8335 0.5000
Ho 0.8335 0.1665 0.5000
Ho 0.5000 0.5000 0.5000
Er 0.9175 0.5870 0.7511
Er 0.7520 0.7520 0.2491
Er 0.0825 0.4130 0.2489
Er 0.5870 0.9175 0.7511
Er 0.2480 0.2480 0.7509
Er 0.4130 0.0825 0.2489
Sc 0.0000 0.0000 0.0000

## Properties
ΔE_f: 0.031 eV per atom
Symmetry: C2/m (12)

# 2
A relaxed Y3Ho6ErSc2 crystal. Source: Alexandria via LeMat-Bulk, functional PBE-GGA.

Unit cell a=6.0528 b=6.0528 c=11.5541 alpha=95.00 beta=95.00 gamma=119.94
Atoms (fractional coordinates):
Y 0.1669 0.8331 0.5000
Y 0.8331 0.1669 0.5000
Y 0.5000 0.5000 0.5000
Ho 0.9184 0.5830 0.7570
Ho 0.7461 0.7461 0.2430
Ho 0.0816 0.4170 0.2430
Ho 0.5830 0.9184 0.7570
Ho 0.2539 0.2539 0.7570
Ho 0.4170 0.0816 0.2430
Er 0.0000 0.0000 0.0000
Sc 0.3334 0.6666 0.0000
Sc 0.6666 0.3334 0.0000

## Properties
ΔE_f: 0.041 eV per atom
Symmetry: C2/m (12)

# 3
A relaxed Y2HoErSc2 crystal. Source: Alexandria via LeMat-Bulk, functional PBE-GGA.

Unit cell a=5.4458 b=9.3958 c=6.8345 alpha=90.00 beta=90.00 gamma=90.00
Atoms (fractional coordinates):
Y 0.5000 0.8334 0.2494
Y 0.5000 0.1666 0.7506
Y 0.0000 0.6666 0.7494
Y 0.0000 0.3334 0.2506
Ho 0.5000 0.5000 0.0000
Ho 0.0000 0.0000 0.5000
Er 0.0000 0.0000 0.0000
Er 0.5000 0.5000 0.5000
Sc 0.5000 0.1668 0.2504
Sc 0.0000 0.6668 0.2496
Sc 0.5000 0.8332 0.7496
Sc 0.0000 0.3332 0.7504

## Properties
ΔE_f: 0.073 eV per atom
Symmetry: Pnnm (58)

# 4
A relaxed YHo2Er6Sc3 crystal. Source: Alexandria via LeMat-Bulk, functional PBE-GGA.

Unit cell a=5.9980 b=5.9980 c=11.4073 alpha=95.02 beta=95.02 gamma=119.96
Atoms (fractional coordinates):
Y 0.0000 0.0000 0.0000
Ho 0.3333 0.6667 0.0000
Ho 0.6667 0.3333 0.0000
Er 0.9136 0.5796 0.7410
Er 0.7524 0.7524 0.2591
Er 0.0864 0.4204 0.2590
Er 0.5796 0.9136 0.7410
Er 0.2476 0.2476 0.7409
Er 0.4204 0.0864 0.2590
Sc 0.1667 0.8333 0.5000
Sc 0.8333 0.1667 0.5000
Sc 0.5000 0.5000 0.5000

## Properties
ΔE_f: 0.045 eV per atom
Symmetry: C2/m (12)

# 5
A relaxed Y3Ho2Er6Sc crystal. Source: Alexandria via LeMat-Bulk, functional PBE-GGA.

Unit cell a=6.0693 b=6.0693 c=11.6272 alpha=94.98 beta=94.98 gamma=119.94
Atoms (fractional coordinates):
Y 0.1665 0.8335 0.5000
Y 0.8335 0.1665 0.5000
Y 0.5000 0.5000 0.5000
Ho 0.3334 0.6666 0.0000
Ho 0.6666 0.3334 0.0000
Er 0.9186 0.5874 0.7540
Er 0.7502 0.7502 0.2462
Er 0.0814 0.4126 0.2460
Er 0.5874 0.9186 0.7540
Er 0.2498 0.2498 0.7538
Er 0.4126 0.0814 0.2460
Sc 0.0000 0.0000 0.0000

## Properties
ΔE_f: 0.033 eV per atom
Symmetry: C2/m (12)

# 6
A relaxed Ho3Er6ZrSc2 crystal. Source: Alexandria via LeMat-Bulk, functional PBE-GGA.

Unit cell a=5.9583 b=5.9583 c=11.3852 alpha=94.99 beta=94.99 gamma=119.93
Atoms (fractional coordinates):
Ho 0.1668 0.8332 0.5000
Ho 0.8332 0.1668 0.5000
Ho 0.5000 0.5000 0.5000
Er 0.9200 0.5905 0.7604
Er 0.7505 0.7505 0.2390
Er 0.0800 0.4095 0.2396
Er 0.5905 0.9200 0.7604
Er 0.2495 0.2495 0.7610
Er 0.4095 0.0800 0.2396
Zr 0.0000 0.0000 0.0000
Sc 0.3331 0.6669 0.0000
Sc 0.6669 0.3331 0.0000

## Properties
ΔE_f: 0.050 eV per atom
Symmetry: C2/m (12)

# 7
A relaxed HoErZrSc crystal. Source: Alexandria via LeMat-Bulk, functional PBE-GGA.

Unit cell a=5.3450 b=5.3450 c=5.3450 alpha=60.00 beta=60.00 gamma=60.00
Atoms (fractional coordinates):
Sc 0.0000 0.0000 0.0000
Ho 0.2500 0.2500 0.2500
Zr 0.7500 0.7500 0.7500
Er 0.5000 0.5000 0.5000

## Properties
ΔE to the lowest computed polymorph: 116 meV/atom
ΔE_f: 0.188 eV per atom
Symmetry: F-43m (216)

# 8
A relaxed Ho6Er2ZrSc3 crystal. Source: Alexandria via LeMat-Bulk, functional PBE-GGA.

Unit cell a=5.9439 b=5.9439 c=11.2756 alpha=95.02 beta=95.02 gamma=119.93
Atoms (fractional coordinates):
Ho 0.9154 0.5874 0.7467
Ho 0.7566 0.7566 0.2524
Ho 0.0846 0.4126 0.2533
Ho 0.5874 0.9154 0.7467
Ho 0.2434 0.2434 0.7476
Ho 0.4126 0.0846 0.2533
Er 0.3331 0.6669 0.0000
Er 0.6669 0.3331 0.0000
Zr 0.0000 0.0000 0.0000
Sc 0.1667 0.8333 0.5000
Sc 0.8333 0.1667 0.5000
Sc 0.5000 0.5000 0.5000

## Properties
ΔE_f: 0.061 eV per atom
Symmetry: C2/m (12)

# 9
A relaxed Ho2Er4ZrSc crystal. Source: Alexandria via LeMat-Bulk, functional PBE-GGA.

Unit cell a=4.8656 b=4.8557 c=10.8485 alpha=63.44 beta=90.00 gamma=90.00
Atoms (fractional coordinates):
Ho 0.0000 0.0000 0.0000
Ho 0.5000 0.0000 0.5000
Er 0.0000 0.7557 0.7442
Er 0.0000 0.2443 0.2558
Er 0.5000 0.7439 0.2560
Er 0.5000 0.2561 0.7440
Zr 0.0000 0.5000 0.5000
Sc 0.5000 0.5000 0.0000

## Properties
ΔE_f: 0.060 eV per atom
Symmetry: P4/mmm (123)

# 10
A relaxed Ho2ErZrSc4 crystal. Source: Alexandria via LeMat-Bulk, functional PBE-GGA.

Unit cell a=4.7557 b=4.7702 c=10.4408 alpha=62.85 beta=90.00 gamma=90.00
Atoms (fractional coordinates):
Ho 0.0000 0.0000 0.0000
Ho 0.5000 0.0000 0.5000
Er 0.5000 0.5000 0.0000
Zr 0.0000 0.5000 0.5000
Sc 0.0000 0.7605 0.7394
Sc 0.0000 0.2395 0.2606
Sc 0.5000 0.7392 0.2608
Sc 0.5000 0.2608 0.7392

## Properties
ΔE_f: 0.053 eV per atom
Symmetry: Pmmm (47)

# 11
A relaxed HoErZrSc crystal. Source: Alexandria via LeMat-Bulk, functional PBE-GGA.

Unit cell a=4.7490 b=4.7497 c=5.8071 alpha=114.13 beta=114.14 gamma=90.00
Atoms (fractional coordinates):
Ho 0.1198 0.1198 0.2396
Er 0.3698 0.8698 0.7395
Zr 0.8698 0.3698 0.7397
Sc 0.6197 0.6198 0.2395

## Properties
ΔE to the lowest computed polymorph: 0 meV/atom
ΔE_f: 0.072 eV per atom
Symmetry: I-4m2 (119)

# 12
A relaxed HoErSe3 crystal. Source: Alexandria via LeMat-Bulk, functional PBE-GGA.

Unit cell a=4.0141 b=8.0250 c=8.1218 alpha=94.84 beta=90.00 gamma=90.00
Atoms (fractional coordinates):
Ho 0.2500 0.8563 0.3171
Ho 0.7500 0.1437 0.6829
Er 0.2500 0.3853 0.2310
Er 0.7500 0.6147 0.7690
Se 0.7500 0.6201 0.3886
Se 0.2500 0.3799 0.6114
Se 0.7500 0.3212 0.9837
Se 0.2500 0.8901 0.6792
Se 0.2500 0.6788 0.0163
Se 0.7500 0.1099 0.3209

## Properties
ΔE to the lowest computed polymorph: 33 meV/atom
Symmetry: P2_1/m (11)

no.,calculated density (Mg/m³)
1,7.849
2,6.958
3,5.697
4,7.386
5,7.474
6,8.085
7,7.203
8,7.572
9,8.221
10,6.052
11,7.278
12,7.250